[1]
The following is a GGA-PBEsol calculation of crystalline NaPdPt3 at its relaxed geometry, from the Alexandria database.

Results
Magnetic moment (μB/f.u.): 0.38
Formation enthalpy at 0 K (eV per atom): 1.1289
N(E_F) (states/eV per cell): 10.7
Final energy (eV/atom): -4.52
Calculated density (g/cm3): 10.607

Cell lengths 4.8186, 4.8186, 4.8186 Å; angles 90.00, 90.00, 90.00 degrees
Site moments in Bohr magnetons follow the coordinates.
Sites, in units of the cell vectors:
Na  0.5000  0.5000  0.5000  0.00
Pd  0.0000  0.0000  0.0000  0.14
Pt  0.0000  0.5000  0.0000  0.08
Pt  0.0000  0.0000  0.5000  0.08
Pt  0.5000  0.0000  0.0000  0.08

---

[2]
The following is a GGA-PBEsol calculation of crystalline NaPdPt2Rh at its relaxed geometry, from the Alexandria database.

Results
Magnetic moment (μB/f.u.): 2.11
Formation enthalpy at 0 K (eV per atom): 1.7978
N(E_F) (states/eV per cell): 7.4
Final energy (eV/atom): -4.09
Calculated density (g/cm3): 11.831

Cell lengths 4.3702, 4.4711, 4.4711 Å; angles 90.00, 90.00, 90.00 degrees
Site moments in Bohr magnetons follow the coordinates.
Sites, in units of the cell vectors:
Na  0.0000  0.0000  0.0000  -0.01
Rh  0.5000  0.0000  0.0000  1.06
Pd  0.5000  0.5000  0.5000  0.38
Pt  0.0000  0.0000  0.5000  0.35
Pt  0.0000  0.5000  0.0000  0.35